8
Lattice="3.449 0.000 0.000 0.000 3.449 0.000 0.000 0.000 14.021" Properties=species:S:1:pos:R:3 comment="Y4Cu3Ru, optimized geometry, DFT PBE" rho_g_cm3=6.4 sg="No. 123" e_tot_ev_per_atom=-6.21 total_magnetization_mub_per_cell=0.0 vol_a3_per_cell=166.8 pbc="T T T"
Y 0.000 0.000 1.675
Y 0.000 0.000 5.227
Y 0.000 0.000 8.795
Y 0.000 0.000 12.347
Cu 1.725 1.725 3.504
Cu 1.725 1.725 7.011
Cu 1.725 1.725 10.518
Ru 1.725 1.725 0.000

***

4
Lattice="3.332 0.000 0.000 0.000 3.332 0.000 0.000 0.000 5.964" Properties=species:S:1:pos:R:3 comment="YCu2Ru, optimized geometry, DFT PBE" rho_g_cm3=8.0 sg="No. 99" e_tot_ev_per_atom=-5.95 de_polymorph_kj_per_mol_atoms=6.7 total_magnetization_mub_per_cell=0.0 vol_a3_per_cell=66.2 pbc="T T T"
Y 0.000 0.000 0.000
Cu 0.000 0.000 2.992
Cu 1.666 1.666 1.822
Ru 1.666 1.666 4.331

***

6
Lattice="4.989 -2.180 0.000 4.989 2.180 0.000 -4.827 0.000 5.133" Properties=species:S:1:pos:R:3 comment="YCuRu, optimized geometry, DFT PBE" rho_g_cm3=7.5 sg="No. 12" e_tot_ev_per_atom=-6.77 de_polymorph_kj_per_mol_atoms=12.2 total_magnetization_mub_per_cell=0.0 vol_a3_per_cell=111.7 pbc="T T T"
Y -0.958 0.000 1.522
Y 6.108 0.000 3.611
Cu -0.981 0.000 4.598
Cu 6.132 0.000 0.535
Ru 2.013 0.000 1.506
Ru 3.138 0.000 3.628

***

| no. | calculated formation energy (eV/atom) | N(E_F) (states/eV per cell) |
| --- | --- | --- |
| 1 | -0.2837 | 5.76 |
| 2 | 0.0292 | 3.15 |
| 3 | -0.1600 | 5.46 |